[1]
# Cr3Tc (PBEsol, relaxed)
# * V: 11.97 Å³/atom
# * DOS(E_F): 4.0 states/eV per cell
# * space-group type: No. 166
# * ΔE_f: 0.08 eV/atom
# * magnetic moment: 0.000 μB per formula unit
data_Cr3Tc
_cell_length_a 2.521
_cell_length_b 4.758
_cell_length_c 4.758
_cell_angle_alpha 116.95
_cell_angle_beta 100.17
_cell_angle_gamma 100.17
_symmetry_space_group_name_H-M 'P 1'
_symmetry_Int_Tables_number 1
_symmetry_space_group_name_Hall 'P 1'
loop_
_atom_site_label
_atom_site_type_symbol
_atom_site_fract_x
_atom_site_fract_y
_atom_site_fract_z
Tc1 Tc 0.500 0.000 0.000
Cr1 Cr 0.500 0.500 0.500
Cr2 Cr 0.000 0.500 0.000
Cr3 Cr 0.000 0.000 0.500

[2]
# CaCdOs2 (PBEsol, relaxed)
# * V: 18.77 Å³/atom
# * DOS(E_F): 4.9 states/eV per cell
# * space-group type: No. 123
# * ΔE_f: 0.95 eV/atom
# * magnetic moment: 0.540 μB per formula unit
data_CaCdOs2
_cell_length_a 3.480
_cell_length_b 3.480
_cell_length_c 6.199
_cell_angle_alpha 90.00
_cell_angle_beta 90.00
_cell_angle_gamma 90.00
_symmetry_space_group_name_H-M 'P 1'
_symmetry_Int_Tables_number 1
_symmetry_space_group_name_Hall 'P 1'
loop_
_atom_site_label
_atom_site_type_symbol
_atom_site_fract_x
_atom_site_fract_y
_atom_site_fract_z
Os1 Os 0.000 0.000 0.699
Ca1 Ca 0.500 0.500 0.000
Os2 Os 0.000 0.000 0.301
Cd1 Cd 0.500 0.500 0.500

[3]
# Ta3TcSb (PBEsol, relaxed)
# * V: 21.71 Å³/atom
# * formation energy from raw total energies: 1.05 eV per atom
# * DOS(E_F): 4.8 states/eV per cell
# * space-group type: No. 221
# * magnetic moment: 0.000 μB per formula unit
data_Ta3TcSb
_cell_length_a 4.770
_cell_length_b 4.770
_cell_length_c 4.770
_cell_angle_alpha 90.00
_cell_angle_beta 90.00
_cell_angle_gamma 90.00
_symmetry_space_group_name_H-M 'P 1'
_symmetry_Int_Tables_number 1
_symmetry_space_group_name_Hall 'P 1'
loop_
_atom_site_label
_atom_site_type_symbol
_atom_site_fract_x
_atom_site_fract_y
_atom_site_fract_z
Ta1 Ta 0.500 0.000 0.000
Tc1 Tc 0.000 0.000 0.000
Ta2 Ta 0.000 0.500 0.000
Ta3 Ta 0.000 0.000 0.500
Sb1 Sb 0.500 0.500 0.500

[4]
# SrLiHf2 (PBEsol, relaxed)
# * V: 25.13 Å³/atom
# * DOS(E_F): 9.3 states/eV per cell
# * space-group type: No. 122
# * ΔE_f: 0.77 eV/atom
# * magnetic moment: 0.000 μB per formula unit
data_SrLiHf2
_cell_length_a 4.117
_cell_length_b 4.117
_cell_length_c 12.212
_cell_angle_alpha 99.70
_cell_angle_beta 99.70
_cell_angle_gamma 90.00
_symmetry_space_group_name_H-M 'P 1'
_symmetry_Int_Tables_number 1
_symmetry_space_group_name_Hall 'P 1'
loop_
_atom_site_label
_atom_site_type_symbol
_atom_site_fract_x
_atom_site_fract_y
_atom_site_fract_z
Sr1 Sr 0.250 0.750 0.500
Li1 Li 0.750 0.250 0.500
Li2 Li 0.500 0.500 0.000
Hf1 Hf 0.388 0.375 0.250
Sr2 Sr 0.000 0.000 0.000
Hf2 Hf 0.862 0.875 0.250
Hf3 Hf 0.625 0.138 0.750
Hf4 Hf 0.125 0.612 0.750

[5]
# LiFeCl2F (PBEsol, relaxed)
# * V: 18.19 Å³/atom
# * formation energy from raw total energies: -1.30 eV per atom
# * DOS(E_F): 3.3 states/eV per cell
# * space-group type: No. 123
# * magnetic moment: 4.002 μB per formula unit
data_LiFeCl2F
_cell_length_a 3.858
_cell_length_b 4.856
_cell_length_c 4.856
_cell_angle_alpha 90.00
_cell_angle_beta 90.00
_cell_angle_gamma 90.00
_symmetry_space_group_name_H-M 'P 1'
_symmetry_Int_Tables_number 1
_symmetry_space_group_name_Hall 'P 1'
loop_
_atom_site_label
_atom_site_type_symbol
_atom_site_fract_x
_atom_site_fract_y
_atom_site_fract_z
Fe1 Fe 0.000 0.000 0.000
Cl1 Cl 0.000 0.500 0.000
Li1 Li 0.500 0.500 0.500
Cl2 Cl 0.000 0.000 0.500
F1 F 0.500 0.000 0.000

[6]
# RbNbAlCr2 (PBEsol, relaxed)
# * V: 28.03 Å³/atom
# * DOS(E_F): 6.8 states/eV per cell
# * space-group type: No. 123
# * ΔE_f: 2.20 eV/atom
# * magnetic moment: 12.496 μB per formula unit
data_RbNbAlCr2
_cell_length_a 4.964
_cell_length_b 4.964
_cell_length_c 5.687
_cell_angle_alpha 90.00
_cell_angle_beta 90.00
_cell_angle_gamma 90.00
_symmetry_space_group_name_H-M 'P 1'
_symmetry_Int_Tables_number 1
_symmetry_space_group_name_Hall 'P 1'
loop_
_atom_site_label
_atom_site_type_symbol
_atom_site_fract_x
_atom_site_fract_y
_atom_site_fract_z
Al1 Al 0.000 0.000 0.000
Cr1 Cr 0.000 0.500 0.000
Cr2 Cr 0.500 0.000 0.000
Rb1 Rb 0.000 0.000 0.500
Nb1 Nb 0.500 0.500 0.500

Question: Which of these has the lowest V?
Answer: Cr3Tc